a.
# RbHg2F5

Crystalline RbHg2F5 at its relaxed geometry (GGA-PBE, the Alexandria database).

Values from the calculation:
M_tot, μB per cell: 0.0

a = 3.7131 Å, b = 6.0019 Å, c = 12.2206 Å
α = 90.00°, β = 90.00°, γ = 90.00°
Closest atoms and distances in Å follow each position.
Space group Immm (No. 71)
Unique sites:
Rb (0.0000, 0.0000, 0.0000)  10 F 3.00-3.04
Hg (0.0000, 0.5000, 0.1858)  7 F 2.27-2.46
F (0.0000, 0.2628, 0.3413)  3 Hg 2.37-2.46
F (0.0000, 0.5000, 0.0000)  2 Hg 2.27

---

b.
# RbHg2F5

Crystalline RbHg2F5 at its relaxed geometry (GGA-PBE, the Alexandria database).

Values from the calculation:
M_tot, μB per cell: 0.0

a = 4.6449 Å, b = 12.2247 Å, c = 11.3977 Å
α = 90.00°, β = 90.00°, γ = 90.00°
Closest atoms and distances in Å follow each position.
Space group Cmcm (No. 63)
Unique sites:
Rb (0.0000, 0.0819, 0.2500)  7 F 2.79-3.12
Hg (0.0000, 0.3598, 0.0556)  6 F 2.30-2.43
F (0.0000, 0.1760, 0.5044)  3 Hg 2.35-2.43
F (0.0000, 0.3100, 0.2500)  2 Hg 2.30
F (0.0000, 0.4600, 0.6164)  2 Hg 2.31

---

The structure with the least stability is a.

---

a.
# ReHg2F2

Crystalline ReHg2F2 at its relaxed geometry (GGA-PBE, the Alexandria database).

Values from the calculation:
M_tot, μB per cell: 3.2

a = 7.7591 Å, b = 7.7591 Å, c = 2.7416 Å
α = 90.00°, β = 90.00°, γ = 90.00°
Closest atoms and distances in Å follow each position.
Space group P4/mbm (No. 127)
Unique sites:
Re (0.0000, 0.0000, 0.0000)  2 Re 2.74, 4 Hg 2.91
Hg (0.1629, 0.3371, 0.0000)  6 F 2.62-2.73, 2 Hg 2.74, 2 Re 2.91
F (0.1217, 0.6217, 0.5000)  6 Hg 2.62-2.73, 3 F 2.67-2.74

---

b.
# ReHg2F2

Crystalline ReHg2F2 at its relaxed geometry (GGA-PBE, the Alexandria database).

Values from the calculation:
M_tot, μB per cell: 5.8

a = 3.4816 Å, b = 3.4816 Å, c = 13.4966 Å
α = 90.00°, β = 90.00°, γ = 90.00°
Closest atoms and distances in Å follow each position.
Space group I4/mmm (No. 139)
Unique sites:
Re (0.0000, 0.0000, 0.0000)  8 Hg 3.00
Hg (0.0000, 0.0000, 0.3734)  4 F 2.41
F (0.0000, 0.5000, 0.2500)  4 Hg 2.41, 4 F 2.46

---

The structure with the least stability is a.

---

a.
# ReHg2F

Crystalline ReHg2F at its relaxed geometry (GGA-PBE, the Alexandria database).

Values from the calculation:
M_tot, μB per cell: 12.9

a = 6.6759 Å, b = 6.6759 Å, c = 6.6759 Å
α = 90.00°, β = 90.00°, γ = 90.00°
Closest atoms and distances in Å follow each position.
Space group Fm-3m (No. 225)
Unique sites:
Re (0.0000, 0.0000, 0.0000)  8 Hg 2.89
Hg (0.2500, 0.2500, 0.2500)  4 F 2.89, 4 Re 2.89
F (0.0000, 0.0000, 0.5000)  8 Hg 2.89

---

b.
# ReHg2F

Crystalline ReHg2F at its relaxed geometry (GGA-PBE, the Alexandria database).

Values from the calculation:
M_tot, μB per cell: 12.6

a = 7.1084 Å, b = 7.1084 Å, c = 6.1898 Å
α = 90.00°, β = 90.00°, γ = 90.00°
Closest atoms and distances in Å follow each position.
Space group I-42d (No. 122)
Unique sites:
Re (0.0000, 0.0000, 0.0000)  4 Hg 2.77, 2 F 3.09
Hg (0.2207, 0.2500, 0.6250)  2 F 2.49, 2 Re 2.77
F (0.0000, 0.0000, 0.5000)  4 Hg 2.49

---

The structure with the least stability is a.

---

a.
# ReHgF2

Crystalline ReHgF2 at its relaxed geometry (GGA-PBE, the Alexandria database).

Values from the calculation:
M_tot, μB per cell: 10.8

a = 4.2231 Å, b = 4.2231 Å, c = 14.9471 Å
α = 90.00°, β = 90.00°, γ = 90.00°
Closest atoms and distances in Å follow each position.
Space group I-42d (No. 122)
Unique sites:
Re (0.0000, 0.0000, 0.0000)  4 F 2.20
Hg (0.0000, 0.0000, 0.5000)  4 F 2.71, 4 Re 2.99
F (0.1098, 0.2500, 0.1250)  2 Re 2.20, 2 F 2.31

---

b.
# ReHgF2

Crystalline ReHgF2 at its relaxed geometry (GGA-PBE, the Alexandria database).

Values from the calculation:
M_tot, μB per cell: 18.5

a = 6.3230 Å, b = 6.3230 Å, c = 6.3230 Å
α = 90.00°, β = 90.00°, γ = 90.00°
Closest atoms and distances in Å follow each position.
Space group Fm-3m (No. 225)
Unique sites:
Re (0.0000, 0.0000, 0.0000)  8 F 2.74
Hg (0.0000, 0.0000, 0.5000)  8 F 2.74
F (0.2500, 0.2500, 0.2500)  4 Hg 2.74, 4 Re 2.74

---

c.
# ReHgF2

Crystalline ReHgF2 at its relaxed geometry (GGA-PBE, the Alexandria database).

Values from the calculation:
M_tot, μB per cell: 0.0

a = 2.8203 Å, b = 2.8203 Å, c = 27.7258 Å
α = 90.00°, β = 90.00°, γ = 120.00°
Closest atoms and distances in Å follow each position.
Space group R-3m (No. 166, hexagonal axes)
Unique sites:
Re (0.0000, 0.0000, 0.0000)  2 F 1.92
Hg (0.0000, 0.0000, 0.5000)  6 Hg 2.82, 6 F 3.16
F (0.0000, 0.0000, 0.0692)  1 Re 1.92

---

The structure with the least stability is b.

---

a.
# Re2HgF

Crystalline Re2HgF at its relaxed geometry (GGA-PBE, the Alexandria database).

Values from the calculation:
M_tot, μB per cell: 0.0

a = 6.2609 Å, b = 6.2609 Å, c = 6.2609 Å
α = 90.00°, β = 90.00°, γ = 90.00°
Closest atoms and distances in Å follow each position.
Space group Fm-3m (No. 225)
Unique sites:
Re (0.2500, 0.2500, 0.2500)  4 Hg 2.71, 4 F 2.71
Hg (0.0000, 0.0000, 0.0000)  8 Re 2.71
F (0.0000, 0.0000, 0.5000)  8 Re 2.71

---

b.
# Re2HgF

Crystalline Re2HgF at its relaxed geometry (GGA-PBE, the Alexandria database).

Values from the calculation:
M_tot, μB per cell: 0.0

a = 3.6392 Å, b = 3.6392 Å, c = 20.9362 Å
α = 90.00°, β = 90.00°, γ = 90.00°
Closest atoms and distances in Å follow each position.
Space group I-42d (No. 122)
Unique sites:
Re (0.2151, 0.7500, 0.1250)  2 Re 2.40
Hg (0.0000, 0.0000, 0.0000)  4 F 2.57, 4 Re 2.88
F (0.0000, 0.0000, 0.5000)  4 Hg 2.57

---

The structure with the least stability is a.

---

a.
# HgRh2F

Crystalline HgRh2F at its relaxed geometry (GGA-PBE, the Alexandria database).

Values from the calculation:
M_tot, μB per cell: 7.5

a = 3.6663 Å, b = 3.6663 Å, c = 19.8786 Å
α = 90.00°, β = 90.00°, γ = 90.00°
Closest atoms and distances in Å follow each position.
Space group I-42d (No. 122)
Unique sites:
Hg (0.0000, 0.0000, 0.0000)  4 F 2.59, 4 Rh 2.81
Rh (0.2440, 0.2500, 0.6250)  4 Rh 2.56-2.62, 2 F 2.80, 2 Hg 2.81
F (0.0000, 0.0000, 0.5000)  4 Hg 2.59, 4 Rh 2.80

---

b.
# HgRh2F

Crystalline HgRh2F at its relaxed geometry (GGA-PBE, the Alexandria database).

Values from the calculation:
M_tot, μB per cell: 10.6

a = 6.3263 Å, b = 6.3263 Å, c = 6.3263 Å
α = 90.00°, β = 90.00°, γ = 90.00°
Closest atoms and distances in Å follow each position.
Space group Fm-3m (No. 225)
Unique sites:
Hg (0.0000, 0.0000, 0.0000)  8 Rh 2.74
Rh (0.2500, 0.2500, 0.2500)  4 Hg 2.74, 4 F 2.74
F (0.0000, 0.0000, 0.5000)  8 Rh 2.74

---

The structure with the least stability is b.